Computed, not measured: a relaxed structure of SrSb3Pt at the PBE-GGA level of DFT.

Cell lengths 6.4455, 6.4006, 6.7656 Å; angles 89.94, 90.00, 90.00 degrees
Positions (direct):
Sr1 0.9270 0.0103 0.1989
Sb1 0.4644 0.8576 0.9629
Sr2 0.4270 0.3425 0.7026
Sb2 0.3634 0.2754 0.2024
Sb3 0.9644 0.4952 0.9387
Sb4 0.8633 0.0774 0.6991
Pt1 0.6576 0.5654 0.2009
Pt2 0.1576 0.7874 0.7007
Sb5 0.4658 0.8578 0.4397
Sb6 0.9658 0.4950 0.4619

Computed properties:
Crystal system: monoclinic
DOS(E_F) (states/eV per atom): 0.437
Energy above the lowest structure with this stoichiometry (eV per atom): 0.000
Total energy (eV per atom): -4.553
Space group: No. 4
Uncorrected formation energy (eV per atom): -0.54

Computed, not measured: a relaxed structure of AlRu4 at the PBE-GGA level of DFT.

Cell lengths 4.7593, 4.7593, 4.7593 Å; angles 109.47, 109.47, 109.47 degrees
Positions (direct):
Ru1 0.0000 0.0000 0.5000
Ru2 0.5000 0.5000 0.5000
Ru3 0.5000 0.0000 0.0000
Al1 0.0000 0.0000 0.0000
Ru4 0.0000 0.5000 0.0000

Computed properties:
Crystal system: cubic
DOS(E_F) (states/eV per atom): 1.934
Energy above the lowest structure with this stoichiometry (eV per atom): 1.187
Total energy (eV per atom): -7.078
Space group: No. 229
ΔH_f (0 K) (eV per formula unit): 5.46

Computed, not measured: a relaxed structure of U2Ni2AgS6 at the PBE-GGA level of DFT.

Cell lengths 6.4618, 6.8680, 7.3723 Å; angles 120.99, 90.10, 62.88 degrees
Site moments in Bohr magnetons follow the coordinates.
Positions (direct):
Ni1 0.2018 0.7892 0.8365  -0.32
S1 0.9554 0.4382 0.1918  -0.06
S2 0.7558 0.1678 0.4301  -0.05
S3 0.2442 0.8322 0.5699  -0.05
U1 0.1622 0.6771 0.1792  0.96
S4 0.0446 0.5618 0.8082  -0.06
S5 0.5703 0.1948 0.9441  -0.05
Ag1 0.5000 0.0000 0.5000  -0.02
U2 0.8378 0.3229 0.8208  0.96
Ni2 0.7982 0.2108 0.1635  -0.32
S6 0.4297 0.8052 0.0559  -0.05

Computed properties:
Crystal system: triclinic
DOS(E_F) (states/eV per atom): 0.732
Total energy (eV per atom): -6.433
Space group: No. 2
Uncorrected formation energy (eV per atom): -0.82

Computed, not measured: a relaxed structure of MnRhS2 at the PBE-GGA level of DFT.

Cell lengths 3.4802, 3.4802, 6.3128 Å; angles 74.00, 74.00, 60.00 degrees
Site moments in Bohr magnetons follow the coordinates.
Positions (direct):
S1 0.2567 0.2567 0.2298  0.01
Mn1 0.5015 0.5015 0.4955  3.83
Rh1 0.6621 0.6621 0.0138  -0.05
S2 0.0797 0.0797 0.7609  0.03

Computed properties:
Crystal system: trigonal
DOS(E_F) (states/eV per atom): 0.438
Energy above the lowest structure with this stoichiometry (eV per atom): 0.048
Total energy (eV per atom): -6.464
Space group: No. 160
Uncorrected formation energy (eV per atom): -0.27

Computed, not measured: a relaxed structure of KTcMo at the PBE-GGA level of DFT.

Cell lengths 7.4715, 7.4715, 7.4715 Å; angles 155.70, 155.70, 34.63 degrees
Positions (direct):
Mo1 0.2891 0.2891 0.0000
K1 0.0058 0.0058 0.0000
Tc1 0.7051 0.7051 0.0000

Computed properties:
Crystal system: tetragonal
DOS(E_F) (states/eV per atom): 0.984
Energy above the lowest structure with this stoichiometry (eV per atom): 0.000
Total energy (eV per atom): -6.583
Space group: No. 107
ΔH_f (0 K) (eV per formula unit): 2.55

Computed, not measured: a relaxed structure of TbMnCuC at the PBE-GGA level of DFT.

Cell lengths 3.3609, 3.3609, 10.0710 Å; angles 90.00, 90.00, 90.00 degrees
Site moments in Bohr magnetons follow the coordinates.
Positions (direct):
Mn1 0.2500 0.7500 0.0000  1.12
C1 0.7500 0.7500 0.8848  -0.05
Tb1 0.7500 0.7500 0.2458  -0.06
Cu1 0.2500 0.7500 0.5000  0.00
C2 0.2500 0.2500 0.1152  -0.05
Cu2 0.7500 0.2500 0.5000  0.00
Tb2 0.2500 0.2500 0.7542  -0.06
Mn2 0.7500 0.2500 0.0000  1.12

Computed properties:
Crystal system: tetragonal
DOS(E_F) (states/eV per atom): 0.584
Total energy (eV per atom): -6.918
Space group: No. 129
ΔH_f (0 K) (eV per formula unit): -0.55

Computed, not measured: a relaxed structure of AcTlGa2 at the PBE-GGA level of DFT.

Cell lengths 4.7280, 7.5293, 11.8569 Å; angles 90.00, 90.00, 90.00 degrees
Positions (direct):
Ga1 0.2500 0.5125 0.1658
Ac1 0.2500 0.1530 0.8579
Tl1 0.7500 0.3366 0.0570
Tl2 0.2500 0.1634 0.5570
Ga2 0.7500 0.8424 0.8571
Ga3 0.2500 0.1576 0.1429
Ac2 0.7500 0.3470 0.3579
Ga4 0.7500 0.4875 0.8342
Ga5 0.7500 0.9875 0.6658
Ac3 0.7500 0.8470 0.1421
Ga6 0.7500 0.3424 0.6429
Ga7 0.2500 0.0125 0.3342
Ga8 0.2500 0.6576 0.3571
Tl3 0.7500 0.8366 0.4430
Tl4 0.2500 0.6634 0.9430
Ac4 0.2500 0.6530 0.6421

Computed properties:
Crystal system: orthorhombic
DOS(E_F) (states/eV per atom): 0.347
Energy above the lowest structure with this stoichiometry (eV per atom): 0.000
Total energy (eV per atom): -3.535
Space group: No. 62
ΔH_f (0 K) (eV per formula unit): -1.61

Computed, not measured: a relaxed structure of PmGaB at the PBE-GGA level of DFT.

Cell lengths 4.2183, 3.7980, 3.7980 Å; angles 120.00, 90.00, 90.00 degrees
Positions (direct):
Ga1 0.1668 0.6667 0.3333
Pm1 0.6668 0.3333 0.6667
B1 0.1664 0.0000 0.0000

Computed properties:
Crystal system: hexagonal
DOS(E_F) (states/eV per atom): 0.424
Energy above the lowest structure with this stoichiometry (eV per atom): 0.000
Total energy (eV per atom): -5.206
Space group: No. 187
ΔH_f (0 K) (eV per formula unit): -1.16